A plane-wave DFT calculation with PBE-GGA was carried out for an optimized crystal structure of Na3Mg2S2Br3. Values from VASP.

```
&SYSTEM
  ibrav = 0, nat = 10, ntyp = 4
/
ATOMIC_SPECIES
Br 79.90 Br.upf
Na 22.99 Na.upf
Mg 24.30 Mg.upf
S 32.06 S.upf
ATOMIC_POSITIONS crystal
Br 0.000 0.000 0.000
Br 0.391 0.391 0.782
Br 0.609 0.609 0.218
Na 0.896 0.896 0.791
Na 0.500 0.500 0.000
Na 0.104 0.104 0.209
Mg 0.250 0.750 0.500
Mg 0.750 0.250 0.500
S 0.790 0.790 0.580
S 0.210 0.210 0.420
CELL_PARAMETERS angstrom
4.390 0.000 0.000
0.000 4.390 0.000
-2.195 -2.195 13.895
```

Total DFT energy (no corrections) ... -3.4651 eV per atom
Uncorrected formation energy ... -1.423 eV/atom
Fermi-level density of states ... 0.00 states/eV per atom